VASP calculation (PBE with a Hubbard U) on a geometry-optimized Tl2MoO2F4 structure.

a = 10.620 Å, b = 6.132 Å, c = 4.997 Å
α = 90.00°, β = 95.91°, γ = 90.00°
Space group C2/m (No. 12)
Unique sites:
Tl 0.178 0.000 0.333 [4 per cell]
Mo 0.000 0.500 0.000 [2 per cell]
O 0.145 0.500 0.231 [4 per cell]
F 0.073 0.270 0.789 [8 per cell]

density = 6.287 g cm⁻³
N(E_F) = 0.00 states/eV/cell
total energy = -5.076 eV per atom
M_tot = 0.00 μB per formula unit